VASP calculation (PBE with a Hubbard U) on NiBF2 after structural relaxation.

a b c (Å): 7.041 7.041 7.041
angles (deg): 22.00 22.00 22.00
Each line ends with the local moment (μB).
Sites, in units of the cell vectors:
F 0.093 0.093 0.093  -0.03
F 0.907 0.907 0.907  -0.03
Ni 0.000 0.000 0.000  0.92
B 0.500 0.500 0.500  -0.02

SG: No. 166
Energy above the most stable polymorph in this dataset in kJ per mole of atoms: 67.43
Magnetic moment in μB/cell: 0.76